This record from Alexandria via LeMat-Bulk describes a geometry-optimized AgHg2As structure. The functional is PBE-GGA.

abc: 2.9916 5.5627 5.5153
angles: 90.00 90.00 90.00
Space group Pmm2 (No. 25)
Symmetry-distinct sites (fractional):
Ag1 0.0000 0.0000 0.0000 [1 per cell]
Hg1 0.0000 0.5000 0.4971 [1 per cell]
Hg2 0.5000 0.0000 0.5003 [1 per cell]
As1 0.0000 0.5000 0.9972 [1 per cell]

## Properties
* formation energy from the elements: 0.1678 eV/atom
* electronic total energy: -7.4 eV for the cell shown